Arrangement A

Crystalline HfAlAgAu at its relaxed geometry. Source: OQMD, functional PBE.

Output
Calculated density ... 11.72 g/cm3
Total magnetic moment ... 0.00 μB per formula unit
Symmetry ... F-43m
Volume ... 72.30 Å³/cell

Lattice parameters (Å, degrees): 4.6761 4.6761 4.6761 60.00 60.00 60.00
Closest atoms and distances in Å follow each position.
Element x y z (fractional)
Au  0.0000  0.0000  0.0000  4 Hf 2.86, 4 Ag 2.86
Al  0.5000  0.5000  0.5000  4 Hf 2.86, 4 Ag 2.86
Ag  0.2500  0.2500  0.2500  4 Al 2.86, 4 Au 2.86
Hf  0.7500  0.7500  0.7500  4 Al 2.86, 4 Au 2.86

Arrangement B

Crystalline HfAlAgAu at its relaxed geometry. Source: OQMD, functional PBE.

Output
Calculated density ... 11.79 g/cm3
Total magnetic moment ... 0.00 μB per formula unit
Symmetry ... F-43m
Volume ... 71.87 Å³/cell

Lattice parameters (Å, degrees): 4.6668 4.6668 4.6668 60.00 60.00 60.00
Closest atoms and distances in Å follow each position.
Element x y z (fractional)
Al  0.2500  0.2500  0.2500  4 Ag 2.86, 4 Au 2.86
Ag  0.5000  0.5000  0.5000  4 Al 2.86, 4 Hf 2.86
Hf  0.7500  0.7500  0.7500  4 Ag 2.86, 4 Au 2.86
Au  0.0000  0.0000  0.0000  4 Al 2.86, 4 Hf 2.86

Stability check: which of them is most stable? arrangement B.

Arrangement A

Crystalline LuAlAgAu at its relaxed geometry. Source: OQMD, functional PBE.

Output
Calculated density ... 11.12 g/cm3
Total magnetic moment ... 0.00 μB per formula unit
Symmetry ... F-43m
Volume ... 75.66 Å³/cell

Lattice parameters (Å, degrees): 4.7474 4.7474 4.7474 60.00 60.00 60.00
Closest atoms and distances in Å follow each position.
Element x y z (fractional)
Au  0.2500  0.2500  0.2500  4 Ag 2.91, 4 Al 2.91
Al  0.0000  0.0000  0.0000  4 Lu 2.91, 4 Au 2.91
Ag  0.5000  0.5000  0.5000  4 Au 2.91, 4 Lu 2.91
Lu  0.7500  0.7500  0.7500  4 Al 2.91, 4 Ag 2.91

Arrangement B

Crystalline LuAlAgAu at its relaxed geometry. Source: OQMD, functional PBE.

Output
Calculated density ... 11.06 g/cm3
Total magnetic moment ... 0.00 μB per formula unit
Symmetry ... F-43m
Volume ... 76.08 Å³/cell

Lattice parameters (Å, degrees): 4.7563 4.7563 4.7563 60.00 60.00 60.00
Closest atoms and distances in Å follow each position.
Element x y z (fractional)
Ag  0.2500  0.2500  0.2500  4 Lu 2.91, 4 Al 2.91
Al  0.0000  0.0000  0.0000  4 Au 2.91, 4 Ag 2.91
Lu  0.5000  0.5000  0.5000  4 Ag 2.91, 4 Au 2.91
Au  0.7500  0.7500  0.7500  4 Al 2.91, 4 Lu 2.91

Arrangement C

Crystalline LuAlAgAu at its relaxed geometry. Source: OQMD, functional PBE.

Output
Calculated density ... 10.92 g/cm3
Total magnetic moment ... 0.00 μB per formula unit
Symmetry ... F-43m
Volume ... 77.08 Å³/cell

Lattice parameters (Å, degrees): 4.7770 4.7770 4.7770 60.00 60.00 60.00
Closest atoms and distances in Å follow each position.
Element x y z (fractional)
Al  0.5000  0.5000  0.5000  4 Lu 2.93, 4 Ag 2.93
Ag  0.2500  0.2500  0.2500  4 Al 2.93, 4 Au 2.93
Lu  0.7500  0.7500  0.7500  4 Al 2.93, 4 Au 2.93
Au  0.0000  0.0000  0.0000  4 Ag 2.93, 4 Lu 2.93

Stability check: which of them is most stable? arrangement B.

Arrangement A

Crystalline BeAlCoAg at its relaxed geometry. Source: OQMD, functional PBE.

Output
Calculated density ... 6.77 g/cm3
Total magnetic moment ... 0.32 μB per formula unit
Symmetry ... F-43m
Volume ... 49.75 Å³/cell

Lattice parameters (Å, degrees): 4.1283 4.1283 4.1283 60.00 60.00 60.00
Closest atoms and distances in Å follow each position.
Element x y z (fractional)
Be  0.5000  0.5000  0.5000  4 Ag 2.53, 4 Co 2.53
Al  0.0000  0.0000  0.0000  4 Ag 2.53, 4 Co 2.53
Ag  0.2500  0.2500  0.2500  4 Be 2.53, 4 Al 2.53
Co  0.7500  0.7500  0.7500  4 Be 2.53, 4 Al 2.53

Arrangement B

Crystalline BeAlCoAg at its relaxed geometry. Source: OQMD, functional PBE.

Output
Calculated density ... 6.62 g/cm3
Total magnetic moment ... 0.41 μB per formula unit
Symmetry ... F-43m
Volume ... 50.85 Å³/cell

Lattice parameters (Å, degrees): 4.1586 4.1586 4.1586 60.00 60.00 60.00
Closest atoms and distances in Å follow each position.
Element x y z (fractional)
Al  0.0000  0.0000  0.0000  4 Be 2.55, 4 Co 2.55
Co  0.7500  0.7500  0.7500  4 Ag 2.55, 4 Al 2.55
Be  0.2500  0.2500  0.2500  4 Al 2.55, 4 Ag 2.55
Ag  0.5000  0.5000  0.5000  4 Co 2.55, 4 Be 2.55

Stability check: which of them is most stable? arrangement A.

Arrangement A

Crystalline HfAlCoAg at its relaxed geometry. Source: OQMD, functional PBE.

Output
Calculated density ... 9.68 g/cm3
Total magnetic moment ... 0.16 μB per formula unit
Symmetry ... F-43m
Volume ... 63.83 Å³/cell

Lattice parameters (Å, degrees): 4.4860 4.4860 4.4860 60.00 60.00 60.00
Closest atoms and distances in Å follow each position.
Element x y z (fractional)
Ag  0.5000  0.5000  0.5000  4 Hf 2.75, 4 Co 2.75
Hf  0.2500  0.2500  0.2500  4 Al 2.75, 4 Ag 2.75
Al  0.0000  0.0000  0.0000  4 Hf 2.75, 4 Co 2.75
Co  0.7500  0.7500  0.7500  4 Al 2.75, 4 Ag 2.75

Arrangement B

Crystalline HfAlCoAg at its relaxed geometry. Source: OQMD, functional PBE.

Output
Calculated density ... 9.77 g/cm3
Total magnetic moment ... 0.03 μB per formula unit
Symmetry ... F-43m
Volume ... 63.26 Å³/cell

Lattice parameters (Å, degrees): 4.4726 4.4726 4.4726 60.00 60.00 60.00
Closest atoms and distances in Å follow each position.
Element x y z (fractional)
Ag  0.2500  0.2500  0.2500  4 Hf 2.74, 4 Al 2.74
Co  0.7500  0.7500  0.7500  4 Al 2.74, 4 Hf 2.74
Hf  0.5000  0.5000  0.5000  4 Ag 2.74, 4 Co 2.74
Al  0.0000  0.0000  0.0000  4 Co 2.74, 4 Ag 2.74

Stability check: which of them is most stable? arrangement B.

Arrangement A

Crystalline LuAlCoAg at its relaxed geometry. Source: OQMD, functional PBE.

Output
Calculated density ... 8.78 g/cm3
Total magnetic moment ... 0.01 μB per formula unit
Symmetry ... F-43m
Volume ... 69.72 Å³/cell

Lattice parameters (Å, degrees): 4.6197 4.6197 4.6197 60.00 60.00 60.00
Closest atoms and distances in Å follow each position.
Element x y z (fractional)
Ag  0.5000  0.5000  0.5000  4 Co 2.83, 4 Lu 2.83
Co  0.7500  0.7500  0.7500  4 Al 2.83, 4 Ag 2.83
Al  0.0000  0.0000  0.0000  4 Co 2.83, 4 Lu 2.83
Lu  0.2500  0.2500  0.2500  4 Al 2.83, 4 Ag 2.83

Arrangement B

Crystalline LuAlCoAg at its relaxed geometry. Source: OQMD, functional PBE.

Output
Calculated density ... 9.06 g/cm3
Total magnetic moment ... 0.46 μB per formula unit
Symmetry ... F-43m
Volume ... 67.58 Å³/cell

Lattice parameters (Å, degrees): 4.5721 4.5721 4.5721 60.00 60.00 60.00
Closest atoms and distances in Å follow each position.
Element x y z (fractional)
Co  0.7500  0.7500  0.7500  4 Al 2.80, 4 Lu 2.80
Ag  0.2500  0.2500  0.2500  4 Lu 2.80, 4 Al 2.80
Al  0.0000  0.0000  0.0000  4 Co 2.80, 4 Ag 2.80
Lu  0.5000  0.5000  0.5000  4 Co 2.80, 4 Ag 2.80

Stability check: which of them is most stable? arrangement B.

Arrangement A

Crystalline ZrAlCoAg at its relaxed geometry. Source: OQMD, functional PBE.

Output
Calculated density ... 7.32 g/cm3
Total magnetic moment ... 0.74 μB per formula unit
Symmetry ... F-43m
Volume ... 64.68 Å³/cell

Lattice parameters (Å, degrees): 4.5056 4.5056 4.5056 60.00 60.00 60.00
Closest atoms and distances in Å follow each position.
Element x y z (fractional)
Co  0.7500  0.7500  0.7500  4 Al 2.76, 4 Zr 2.76
Ag  0.2500  0.2500  0.2500  4 Zr 2.76, 4 Al 2.76
Zr  0.5000  0.5000  0.5000  4 Ag 2.76, 4 Co 2.76
Al  0.0000  0.0000  0.0000  4 Co 2.76, 4 Ag 2.76

Arrangement B

Crystalline ZrAlCoAg at its relaxed geometry. Source: OQMD, functional PBE.

Output
Calculated density ... 7.17 g/cm3
Total magnetic moment ... 0.50 μB per formula unit
Symmetry ... F-43m
Volume ... 65.99 Å³/cell

Lattice parameters (Å, degrees): 4.5358 4.5358 4.5358 60.00 60.00 60.00
Closest atoms and distances in Å follow each position.
Element x y z (fractional)
Co  0.7500  0.7500  0.7500  4 Ag 2.78, 4 Al 2.78
Zr  0.2500  0.2500  0.2500  4 Ag 2.78, 4 Al 2.78
Al  0.0000  0.0000  0.0000  4 Co 2.78, 4 Zr 2.78
Ag  0.5000  0.5000  0.5000  4 Co 2.78, 4 Zr 2.78

Stability check: which of them is most stable? arrangement A.

Arrangement A

Crystalline CsAlAg at its relaxed geometry. Source: OQMD, functional PBE.

Output
Calculated density ... 3.22 g/cm3
Symmetry ... F-43m
Volume ... 137.88 Å³/cell

Lattice parameters (Å, degrees): 5.7988 5.7988 5.7988 60.00 60.00 60.00
Closest atoms and distances in Å follow each position.
Element x y z (fractional)
Cs  0.0000  0.0000  0.0000  4 Al 3.55, 4 Ag 3.55
Ag  0.2500  0.2500  0.2500  4 Cs 3.55
Al  0.7500  0.7500  0.7500  4 Cs 3.55

Arrangement B

Crystalline CsAlAg at its relaxed geometry. Source: OQMD, functional PBE.

Output
Calculated density ... 3.89 g/cm3
Symmetry ... F-43m
Volume ... 114.41 Å³/cell

Lattice parameters (Å, degrees): 5.4492 5.4492 5.4492 60.00 60.00 60.00
Closest atoms and distances in Å follow each position.
Element x y z (fractional)
Ag  0.2500  0.2500  0.2500  4 Al 3.34
Cs  0.7500  0.7500  0.7500  4 Al 3.34
Al  0.0000  0.0000  0.0000  4 Ag 3.34, 4 Cs 3.34

Arrangement C

Crystalline CsAlAg at its relaxed geometry. Source: OQMD, functional PBE.

Output
Calculated density ... 3.84 g/cm3
Symmetry ... F-43m
Volume ... 115.84 Å³/cell

Lattice parameters (Å, degrees): 5.4717 5.4717 5.4717 60.00 60.00 60.00
Closest atoms and distances in Å follow each position.
Element x y z (fractional)
Al  0.2500  0.2500  0.2500  4 Ag 3.35
Ag  0.0000  0.0000  0.0000  4 Cs 3.35, 4 Al 3.35
Cs  0.7500  0.7500  0.7500  4 Ag 3.35

Stability check: which of them is most stable? arrangement C.

Arrangement A

Crystalline HfAlCuAg at its relaxed geometry. Source: OQMD, functional PBE.

Output
Calculated density ... 9.33 g/cm3
Total magnetic moment ... 0.00 μB per formula unit
Symmetry ... F-43m
Volume ... 67.09 Å³/cell

Lattice parameters (Å, degrees): 4.5610 4.5610 4.5610 60.00 60.00 60.00
Closest atoms and distances in Å follow each position.
Element x y z (fractional)
Al  0.0000  0.0000  0.0000  4 Cu 2.79, 4 Hf 2.79
Cu  0.7500  0.7500  0.7500  4 Ag 2.79, 4 Al 2.79
Ag  0.5000  0.5000  0.5000  4 Cu 2.79, 4 Hf 2.79
Hf  0.2500  0.2500  0.2500  4 Ag 2.79, 4 Al 2.79

Arrangement B

Crystalline HfAlCuAg at its relaxed geometry. Source: OQMD, functional PBE.

Output
Calculated density ... 9.47 g/cm3
Total magnetic moment ... 0.00 μB per formula unit
Symmetry ... F-43m
Volume ... 66.07 Å³/cell

Lattice parameters (Å, degrees): 4.5377 4.5377 4.5377 60.00 60.00 60.00
Closest atoms and distances in Å follow each position.
Element x y z (fractional)
Al  0.0000  0.0000  0.0000  4 Cu 2.78, 4 Ag 2.78
Ag  0.2500  0.2500  0.2500  4 Hf 2.78, 4 Al 2.78
Hf  0.5000  0.5000  0.5000  4 Cu 2.78, 4 Ag 2.78
Cu  0.7500  0.7500  0.7500  4 Al 2.78, 4 Hf 2.78

Stability check: which of them is most stable? arrangement B.

Arrangement A

Crystalline LuAlCuAg at its relaxed geometry. Source: OQMD, functional PBE.

Output
Calculated density ... 8.76 g/cm3
Total magnetic moment ... 0.00 μB per formula unit
Symmetry ... F-43m
Volume ... 70.76 Å³/cell

Lattice parameters (Å, degrees): 4.6427 4.6427 4.6427 60.00 60.00 60.00
Closest atoms and distances in Å follow each position.
Element x y z (fractional)
Ag  0.2500  0.2500  0.2500  4 Lu 2.84, 4 Al 2.84
Cu  0.7500  0.7500  0.7500  4 Al 2.84, 4 Lu 2.84
Lu  0.5000  0.5000  0.5000  4 Cu 2.84, 4 Ag 2.84
Al  0.0000  0.0000  0.0000  4 Cu 2.84, 4 Ag 2.84

Arrangement B

Crystalline LuAlCuAg at its relaxed geometry. Source: OQMD, functional PBE.

Output
Calculated density ... 8.61 g/cm3
Total magnetic moment ... 0.00 μB per formula unit
Symmetry ... F-43m
Volume ... 72.03 Å³/cell

Lattice parameters (Å, degrees): 4.6702 4.6702 4.6702 60.00 60.00 60.00
Closest atoms and distances in Å follow each position.
Element x y z (fractional)
Al  0.0000  0.0000  0.0000  4 Cu 2.86, 4 Lu 2.86
Ag  0.5000  0.5000  0.5000  4 Lu 2.86, 4 Cu 2.86
Cu  0.7500  0.7500  0.7500  4 Al 2.86, 4 Ag 2.86
Lu  0.2500  0.2500  0.2500  4 Ag 2.86, 4 Al 2.86

Stability check: which of them is most stable? arrangement A.

Arrangement A

Crystalline AlCuNiAg at its relaxed geometry. Source: OQMD, functional PBE.

Output
Calculated density ... 7.86 g/cm3
Total magnetic moment ... 0.00 μB per formula unit
Symmetry ... F-43m
Volume ... 54.32 Å³/cell

Lattice parameters (Å, degrees): 4.2509 4.2509 4.2509 60.00 60.00 60.00
Closest atoms and distances in Å follow each position.
Element x y z (fractional)
Al  0.0000  0.0000  0.0000  4 Ni 2.60, 4 Cu 2.60
Ni  0.2500  0.2500  0.2500  4 Al 2.60, 4 Ag 2.60
Ag  0.5000  0.5000  0.5000  4 Cu 2.60, 4 Ni 2.60
Cu  0.7500  0.7500  0.7500  4 Ag 2.60, 4 Al 2.60

Arrangement B

Crystalline AlCuNiAg at its relaxed geometry. Source: OQMD, functional PBE.

Output
Calculated density ... 7.83 g/cm3
Total magnetic moment ... 0.00 μB per formula unit
Symmetry ... F-43m
Volume ... 54.52 Å³/cell

Lattice parameters (Å, degrees): 4.2562 4.2562 4.2562 60.00 60.00 60.00
Closest atoms and distances in Å follow each position.
Element x y z (fractional)
Ni  0.5000  0.5000  0.5000  4 Cu 2.61, 4 Ag 2.61
Ag  0.2500  0.2500  0.2500  4 Ni 2.61, 4 Al 2.61
Cu  0.7500  0.7500  0.7500  4 Ni 2.61, 4 Al 2.61
Al  0.0000  0.0000  0.0000  4 Cu 2.61, 4 Ag 2.61

Stability check: which of them is most stable? arrangement A.

Arrangement A

Crystalline YAlCuAg at its relaxed geometry. Source: OQMD, functional PBE.

Output
Calculated density ... 6.34 g/cm3
Total magnetic moment ... 0.00 μB per formula unit
Symmetry ... F-43m
Volume ... 75.26 Å³/cell

Lattice parameters (Å, degrees): 4.7391 4.7391 4.7391 60.00 60.00 60.00
Closest atoms and distances in Å follow each position.
Element x y z (fractional)
Al  0.0000  0.0000  0.0000  4 Y 2.90, 4 Cu 2.90
Y  0.2500  0.2500  0.2500  4 Al 2.90, 4 Ag 2.90
Cu  0.7500  0.7500  0.7500  4 Ag 2.90, 4 Al 2.90
Ag  0.5000  0.5000  0.5000  4 Y 2.90, 4 Cu 2.90

Arrangement B

Crystalline YAlCuAg at its relaxed geometry. Source: OQMD, functional PBE.

Output
Calculated density ... 6.43 g/cm3
Total magnetic moment ... 0.00 μB per formula unit
Symmetry ... F-43m
Volume ... 74.19 Å³/cell

Lattice parameters (Å, degrees): 4.7165 4.7165 4.7165 60.00 60.00 60.00
Closest atoms and distances in Å follow each position.
Element x y z (fractional)
Ag  0.2500  0.2500  0.2500  4 Y 2.89, 4 Al 2.89
Cu  0.7500  0.7500  0.7500  4 Al 2.89, 4 Y 2.89
Al  0.0000  0.0000  0.0000  4 Cu 2.89, 4 Ag 2.89
Y  0.5000  0.5000  0.5000  4 Ag 2.89, 4 Cu 2.89

Stability check: which of them is most stable? arrangement B.

Arrangement A

Crystalline HfAlFeAg at its relaxed geometry. Source: OQMD, functional PBE.

Output
Calculated density ... 9.52 g/cm3
Total magnetic moment ... 1.36 μB per formula unit
Symmetry ... F-43m
Volume ... 64.42 Å³/cell

Lattice parameters (Å, degrees): 4.4997 4.4997 4.4997 60.00 60.00 60.00
Closest atoms and distances in Å follow each position.
Element x y z (fractional)
Ag  0.2500  0.2500  0.2500  4 Hf 2.76, 4 Al 2.76
Fe  0.7500  0.7500  0.7500  4 Al 2.76, 4 Hf 2.76
Al  0.0000  0.0000  0.0000  4 Fe 2.76, 4 Ag 2.76
Hf  0.5000  0.5000  0.5000  4 Ag 2.76, 4 Fe 2.76

Arrangement B

Crystalline HfAlFeAg at its relaxed geometry. Source: OQMD, functional PBE.

Output
Calculated density ... 9.20 g/cm3
Total magnetic moment ... 2.32 μB per formula unit
Symmetry ... F-43m
Volume ... 66.67 Å³/cell

Lattice parameters (Å, degrees): 4.5514 4.5514 4.5514 60.00 60.00 60.00
Closest atoms and distances in Å follow each position.
Element x y z (fractional)
Ag  0.5000  0.5000  0.5000  4 Hf 2.79, 4 Fe 2.79
Hf  0.2500  0.2500  0.2500  4 Ag 2.79, 4 Al 2.79
Al  0.0000  0.0000  0.0000  4 Fe 2.79, 4 Hf 2.79
Fe  0.7500  0.7500  0.7500  4 Al 2.79, 4 Ag 2.79

Stability check: which of them is most stable? arrangement A.